## Pa2CoRhN5 (PBE-GGA)

Data for Pa2CoRhN5 after structural relaxation.

a = 6.6372 Å, b = 6.6372 Å, c = 10.0510 Å
α = 90.00°, β = 90.00°, γ = 151.21°
Closest atoms and distances in Å follow each position.
Fractional coordinates of all 18 atoms:
Pa 0.0979 0.9021 0.5000  8 N 2.27-2.49
Pa 0.1601 0.8399 0.1317  5 N 2.19-2.45
Pa 0.8399 0.1601 0.6317  5 N 2.19-2.45
Pa 0.9021 0.0979 0.0000  8 N 2.27-2.49
Co 0.2108 0.7892 0.8655  3 N 1.81-2.02
Co 0.7892 0.2108 0.3655  3 N 1.81-2.02
Rh 0.4689 0.5311 0.2700  5 N 1.99-2.18
Rh 0.5311 0.4689 0.7700  5 N 1.99-2.18
N 0.0713 0.9287 0.8859  1 Co 1.81
N 0.2741 0.7259 0.4798  2 Co 2.02
N 0.3288 0.6712 0.1603  1 Rh 2.11, 1 Pa 2.19
N 0.3661 0.6339 0.8199  1 Co 2.05, 1 Rh 2.18
N 0.4758 0.5242 0.5856  1 Rh 1.99
N 0.5242 0.4758 0.0856  1 Rh 1.99
N 0.6339 0.3661 0.3199  1 Co 2.05, 1 Rh 2.18
N 0.6712 0.3288 0.6603  1 Rh 2.11, 1 Pa 2.19
N 0.7259 0.2741 0.9798  2 Co 2.02
N 0.9287 0.0713 0.3859  1 Co 1.81

**Final energy**: -0.6638 Ry per atom
**ΔE_f (raw)**: -6.21 eV per formula unit


## Pa2CoSbN5 (PBE-GGA)

Data for Pa2CoSbN5 after structural relaxation.

a = 8.1948 Å, b = 8.1948 Å, c = 9.4877 Å
α = 90.00°, β = 90.00°, γ = 156.90°
Closest atoms and distances in Å follow each position.
Fractional coordinates of all 18 atoms:
Pa 0.0649 0.9351 0.5000  7 N 2.31-2.53
Pa 0.1307 0.8693 0.1314  4 N 2.22-2.36
Pa 0.8693 0.1307 0.6314  4 N 2.22-2.36
Pa 0.9351 0.0649 0.0000  7 N 2.31-2.53
Co 0.4797 0.5203 0.2758  5 N 1.87-2.04
Co 0.5203 0.4797 0.7758  5 N 1.87-2.04
Sb 0.1867 0.8133 0.8038  3 N 2.16-2.27
Sb 0.8133 0.1867 0.3038  3 N 2.16-2.27
N 0.0594 0.9406 0.8767  2 Co 2.00, 1 Sb 2.16
N 0.3062 0.6938 0.5152  2 Pa 2.22
N 0.3718 0.6282 0.1720  1 Co 1.99
N 0.3983 0.6017 0.8372  1 Co 2.04
N 0.4728 0.5272 0.5963  1 Co 1.87
N 0.5272 0.4728 0.0963  1 Co 1.87
N 0.6017 0.3983 0.3372  1 Co 2.04
N 0.6282 0.3718 0.6720  1 Co 1.99
N 0.6938 0.3062 0.0152  2 Pa 2.22
N 0.9406 0.0594 0.3767  2 Co 2.00, 1 Sb 2.16

**Final energy**: -0.6308 Ry per atom
**ΔE_f (raw)**: -5.40 eV per formula unit


## ScPaCoN3 (PBE-GGA)

Data for ScPaCoN3 after structural relaxation.

a = 6.7900 Å, b = 3.2349 Å, c = 7.0821 Å
α = 90.00°, β = 101.14°, γ = 90.00°
Closest atoms and distances in Å follow each position.
Fractional coordinates of all 12 atoms:
Sc 0.1537 0.2500 0.1596  5 N 2.17-2.30
Sc 0.8463 0.7500 0.8404  5 N 2.17-2.30
Pa 0.3258 0.7500 0.7964  7 N 2.31-2.53
Pa 0.6742 0.2500 0.2036  7 N 2.31-2.53
Co 0.3925 0.7500 0.4161  4 N 1.89-2.03
Co 0.6075 0.2500 0.5839  4 N 1.89-2.03
N 0.0892 0.2500 0.8469  3 Sc 2.17-2.30, 2 Pa 2.36
N 0.3175 0.2500 0.5210  3 Co 1.89-1.93
N 0.3869 0.7500 0.1287  1 Co 2.03
N 0.6131 0.2500 0.8713  1 Co 2.03
N 0.6825 0.7500 0.4790  3 Co 1.89-1.93
N 0.9108 0.7500 0.1531  3 Sc 2.17-2.30, 2 Pa 2.36

**Final energy**: -0.6739 Ry per atom
**ΔE_f (raw)**: -7.10 eV per formula unit


## ScPa2CoN5 (PBE-GGA)

Data for ScPa2CoN5 after structural relaxation.

a = 6.6824 Å, b = 6.6824 Å, c = 10.0703 Å
α = 90.00°, β = 90.00°, γ = 151.41°
Closest atoms and distances in Å follow each position.
Fractional coordinates of all 18 atoms:
Sc 0.1976 0.8024 0.5000  4 N 2.07-2.22
Sc 0.8024 0.1976 0.0000  4 N 2.07-2.22
Pa 0.1055 0.8945 0.1764  6 N 2.27-2.52
Pa 0.1447 0.8553 0.7986  7 N 2.35-2.54
Pa 0.8553 0.1447 0.2986  7 N 2.35-2.54
Pa 0.8945 0.1055 0.6764  6 N 2.27-2.52
Co 0.4771 0.5229 0.9502  4 N 1.88-2.03
Co 0.5229 0.4771 0.4502  4 N 1.88-2.03
N 0.0451 0.9549 0.5611  2 Co 2.01, 1 Sc 2.07
N 0.2801 0.7199 0.1631  3 Pa 2.27-2.35, 2 Sc 2.35
N 0.3265 0.6735 0.8593  1 Co 2.15, 2 Sc 2.20
N 0.3692 0.6308 0.4901  1 Co 2.03, 1 Sc 2.22
N 0.4846 0.5154 0.2698  1 Co 1.88
N 0.5154 0.4846 0.7698  1 Co 1.88
N 0.6308 0.3692 0.9901  1 Co 2.03, 1 Sc 2.22
N 0.6735 0.3265 0.3593  1 Co 2.15, 2 Sc 2.20
N 0.7199 0.2801 0.6631  3 Pa 2.27-2.35, 2 Sc 2.35
N 0.9549 0.0451 0.0611  2 Co 2.01, 1 Sc 2.07

**Final energy**: -0.6942 Ry per atom
**ΔE_f (raw)**: -10.95 eV per formula unit


## PaCo2SiN (PBE-GGA)

Data for PaCo2SiN after structural relaxation.

a = 5.8032 Å, b = 5.8032 Å, c = 6.7444 Å
α = 90.00°, β = 90.00°, γ = 145.24°
Closest atoms and distances in Å follow each position.
Fractional coordinates of all 10 atoms:
Pa 0.0425 0.9575 0.7500  4 N 2.46
Pa 0.9575 0.0425 0.2500  4 N 2.46
Co 0.3308 0.6692 0.5525  1 N 1.91
Co 0.3308 0.6692 0.9475  1 N 1.91
Co 0.6692 0.3308 0.0525  1 N 1.91
Co 0.6692 0.3308 0.4475  1 N 1.91
Si 0.2305 0.7695 0.2500  6 Co 2.29-2.32
Si 0.7695 0.2305 0.7500  6 Co 2.29-2.32
N 0.5000 0.5000 0.0000  2 Co 1.91
N 0.5000 0.5000 0.5000  2 Co 1.91

**Final energy**: -0.6155 Ry per atom
**ΔE_f (raw)**: -4.42 eV per formula unit


## SmPa2CoN5 (PBE-GGA)

Data for SmPa2CoN5 after structural relaxation.

a = 7.2087 Å, b = 7.2087 Å, c = 9.9240 Å
α = 90.00°, β = 90.00°, γ = 152.69°
Closest atoms and distances in Å follow each position.
Fractional coordinates of all 18 atoms:
Sm 0.2028 0.7972 0.5000  4 N 2.33-2.45
Sm 0.7972 0.2028 0.0000  4 N 2.33-2.45
Pa 0.0959 0.9041 0.1883  5 N 2.26-2.50
Pa 0.1288 0.8712 0.8036  5 N 2.30-2.42
Pa 0.8712 0.1288 0.3036  5 N 2.30-2.42
Pa 0.9041 0.0959 0.6883  5 N 2.26-2.50
Co 0.4786 0.5214 0.9700  5 N 1.88-2.10
Co 0.5214 0.4786 0.4700  5 N 1.88-2.10
N 0.0487 0.9513 0.5878  2 Co 2.10, 1 Pa 2.26, 1 Sm 2.33
N 0.2826 0.7174 0.2098  2 Pa 2.30
N 0.3545 0.6455 0.8590  1 Co 2.06
N 0.3772 0.6228 0.5204  1 Co 2.08
N 0.4810 0.5190 0.2889  1 Co 1.88
N 0.5190 0.4810 0.7889  1 Co 1.88
N 0.6228 0.3772 0.0204  1 Co 2.08
N 0.6455 0.3545 0.3590  1 Co 2.06
N 0.7174 0.2826 0.7098  2 Pa 2.30
N 0.9513 0.0487 0.0878  2 Co 2.10, 1 Pa 2.26, 1 Sm 2.33

**Final energy**: -0.6684 Ry per atom
**ΔE_f (raw)**: -9.41 eV per formula unit


## SmPaCoN4 (PBE-GGA)

Data for SmPaCoN4 after structural relaxation.

a = 6.5622 Å, b = 6.5622 Å, c = 6.5622 Å
α = 146.95°, β = 146.95°, γ = 47.44°
Closest atoms and distances in Å follow each position.
Fractional coordinates of all 7 atoms:
Sm 0.0000 0.0000 0.0000  1 N 2.29
Pa 0.7211 0.7211 0.0000  5 N 2.18-2.39
Co 0.3605 0.3605 0.0000  5 N 1.87-2.04
N 0.1903 0.1903 0.0000  1 Co 2.04, 1 Sm 2.29
N 0.3458 0.8458 0.5000  2 Co 1.87
N 0.5392 0.5392 0.0000  1 Co 2.15, 1 Pa 2.18
N 0.8458 0.3458 0.5000  2 Co 1.87

**Final energy**: -0.6385 Ry per atom
**ΔE_f (raw)**: -6.19 eV per formula unit


## SmPa2CoN4 (PBE-GGA)

Data for SmPa2CoN4 after structural relaxation.

a = 6.0075 Å, b = 6.0075 Å, c = 11.3915 Å
α = 90.00°, β = 90.00°, γ = 146.62°
Closest atoms and distances in Å follow each position.
Fractional coordinates of all 16 atoms:
Sm 0.1058 0.8942 0.7500  6 N 2.49-2.71
Sm 0.8942 0.1058 0.2500  6 N 2.49-2.71
Pa 0.3683 0.6317 0.5621  6 N 2.31-2.43
Pa 0.3683 0.6317 0.9379  6 N 2.31-2.43
Pa 0.6317 0.3683 0.0621  6 N 2.31-2.43
Pa 0.6317 0.3683 0.4379  6 N 2.31-2.43
Co 0.1571 0.8429 0.2500  4 N 2.02-2.12
Co 0.8429 0.1571 0.7500  4 N 2.02-2.12
N 0.0000 0.0000 0.0000  4 Pa 2.40
N 0.0000 0.0000 0.5000  4 Pa 2.40
N 0.2711 0.7289 0.1151  1 Co 2.02
N 0.2711 0.7289 0.3849  1 Co 2.02
N 0.4493 0.5507 0.7500  2 Co 2.12, 2 Pa 2.33
N 0.5507 0.4493 0.2500  2 Co 2.12, 2 Pa 2.33
N 0.7289 0.2711 0.6151  1 Co 2.02
N 0.7289 0.2711 0.8849  1 Co 2.02

**Final energy**: -0.6878 Ry per atom
**ΔE_f (raw)**: -10.74 eV per formula unit


## TbPa2CoN5 (PBE-GGA)

Data for TbPa2CoN5 after structural relaxation.

a = 6.9957 Å, b = 6.9957 Å, c = 10.0569 Å
α = 90.00°, β = 90.00°, γ = 152.11°
Closest atoms and distances in Å follow each position.
Fractional coordinates of all 18 atoms:
Tb 0.1988 0.8012 0.5000  4 N 2.25-2.37
Tb 0.8012 0.1988 0.0000  4 N 2.25-2.37
Pa 0.1028 0.8972 0.1846  6 N 2.26-2.50
Pa 0.1338 0.8662 0.8002  5 N 2.30-2.56
Pa 0.8662 0.1338 0.3002  5 N 2.30-2.56
Pa 0.8972 0.1028 0.6846  6 N 2.26-2.50
Co 0.4812 0.5188 0.9624  4 N 1.89-2.07
Co 0.5188 0.4812 0.4624  4 N 1.89-2.07
N 0.0431 0.9569 0.5772  2 Co 2.07, 1 Tb 2.25, 1 Pa 2.26
N 0.2815 0.7185 0.1879  3 Pa 2.33-2.43, 2 Tb 2.55
N 0.3449 0.6551 0.8537  1 Co 2.15, 2 Tb 2.31
N 0.3730 0.6270 0.5047  1 Co 2.02
N 0.4808 0.5192 0.2816  1 Co 1.89
N 0.5192 0.4808 0.7816  1 Co 1.89
N 0.6270 0.3730 0.0047  1 Co 2.02
N 0.6551 0.3449 0.3537  1 Co 2.15, 2 Tb 2.31
N 0.7185 0.2815 0.6879  3 Pa 2.33-2.43, 2 Tb 2.55
N 0.9569 0.0431 0.0772  2 Co 2.07, 1 Tb 2.25, 1 Pa 2.26

**Final energy**: -0.6717 Ry per atom
**ΔE_f (raw)**: -9.90 eV per formula unit


## Pa2CoTcN5 (PBE-GGA)

Data for Pa2CoTcN5 after structural relaxation.

a = 6.8682 Å, b = 6.8682 Å, c = 9.2828 Å
α = 90.00°, β = 90.00°, γ = 151.59°
Closest atoms and distances in Å follow each position.
Fractional coordinates of all 18 atoms:
Pa 0.1250 0.8750 0.5000  8 N 2.34-2.59
Pa 0.1263 0.8737 0.1191  7 N 2.39-2.49
Pa 0.8737 0.1263 0.6191  7 N 2.39-2.49
Pa 0.8750 0.1250 0.0000  8 N 2.34-2.59
Co 0.4389 0.5611 0.2608  4 N 1.86-1.92
Co 0.5611 0.4389 0.7608  4 N 1.86-1.92
Tc 0.1975 0.8025 0.8161  6 N 2.05-2.22
Tc 0.8025 0.1975 0.3161  6 N 2.05-2.22
N 0.0324 0.9676 0.8352  2 Co 1.86
N 0.2994 0.7006 0.4711  2 Tc 2.22, 3 Pa 2.34-2.39
N 0.3082 0.6918 0.1733  1 Co 1.92, 2 Tc 2.15
N 0.3514 0.6486 0.8145  1 Tc 2.05
N 0.4988 0.5012 0.5766  1 Co 1.90
N 0.5012 0.4988 0.0766  1 Co 1.90
N 0.6486 0.3514 0.3145  1 Tc 2.05
N 0.6918 0.3082 0.6733  1 Co 1.92, 2 Tc 2.15
N 0.7006 0.2994 0.9711  2 Tc 2.22, 3 Pa 2.34-2.39
N 0.9676 0.0324 0.3352  2 Co 1.86

**Final energy**: -0.7000 Ry per atom
**ΔE_f (raw)**: -7.63 eV per formula unit


## ThPaCoN4 (PBE-GGA)

Data for ThPaCoN4 after structural relaxation.

a = 6.8404 Å, b = 6.8404 Å, c = 6.8404 Å
α = 148.47°, β = 148.47°, γ = 45.19°
Closest atoms and distances in Å follow each position.
Fractional coordinates of all 7 atoms:
Th 0.0000 0.0000 0.0000  5 N 2.35-2.59
Pa 0.7259 0.7259 0.0000  1 N 2.18
Co 0.3340 0.3340 0.0000  5 N 1.86-1.88
N 0.1864 0.1864 0.0000  1 Co 1.86
N 0.3575 0.8575 0.5000  2 Co 1.88
N 0.5533 0.5533 0.0000  1 Pa 2.18
N 0.8575 0.3575 0.5000  2 Co 1.88

**Final energy**: -0.6820 Ry per atom
**ΔE_f (raw)**: -7.63 eV per formula unit


## ThPa2CoN5 (PBE-GGA)

Data for ThPa2CoN5 after structural relaxation.

a = 7.2196 Å, b = 7.2196 Å, c = 7.2196 Å
α = 126.43°, β = 126.43°, γ = 79.18°
Closest atoms and distances in Å follow each position.
Fractional coordinates of all 18 atoms:
Th 0.2500 0.2500 0.0000  10 N 2.76-2.78
Th 0.7500 0.7500 0.0000  10 N 2.76-2.78
Pa 0.1681 0.6681 0.8362  4 N 2.20-2.42
Pa 0.3319 0.1681 0.5000  4 N 2.20-2.42
Pa 0.6681 0.8319 0.5000  4 N 2.20-2.42
Pa 0.8319 0.3319 0.1638  4 N 2.20-2.42
Co 0.2500 0.7500 0.5000  4 N 1.93
Co 0.7500 0.2500 0.5000  4 N 1.93
N 0.0000 0.0000 0.0000  4 Pa 2.42
N 0.0220 0.2061 0.5000  1 Co 1.93
N 0.2061 0.7061 0.1841  1 Co 1.93
N 0.2939 0.4780 0.5000  1 Co 1.93
N 0.4780 0.9780 0.1841  1 Co 1.93
N 0.5000 0.5000 0.0000  4 Pa 2.42
N 0.5220 0.0220 0.8159  1 Co 1.93
N 0.7061 0.5220 0.5000  1 Co 1.93
N 0.7939 0.2939 0.8159  1 Co 1.93
N 0.9780 0.7939 0.5000  1 Co 1.93

**Final energy**: -0.7071 Ry per atom
**ΔE_f (raw)**: -11.45 eV per formula unit


What is the formula in the third record? ScPaCoN3


Number 5 is which compound? PaCo2SiN